Below is an optimized crystal structure of CrReAs2W, with properties calculated at the PBE-GGA level.

Calculated values
Fermi-level density of states in states/eV per cell: 4.622
Formation energy in eV/atom: 1.510
Final energy in eV per cell: -36.8
M_tot in Bohr magnetons per cell: 1.44

abc: 4.418 4.418 4.716
angles: 90.00 90.00 90.00
Space group P4/mmm (No. 123)
Symmetry-distinct sites (fractional):
Cr 0.000 0.000 0.000 x1
Re 0.500 0.500 0.500 x1
As 0.000 0.500 0.000 x2
W 0.000 0.000 0.500 x1



Below is an optimized crystal structure of YCrRe2As, with properties calculated at the PBE-GGA level.

Calculated values
Fermi-level density of states in states/eV per cell: 8.838
Formation energy in eV/atom: 2.961
Final energy in eV per cell: -30.8
M_tot in Bohr magnetons per cell: 0.20

abc: 4.866 4.866 5.035
angles: 90.00 90.00 90.00
Space group P4/mmm (No. 123)
Symmetry-distinct sites (fractional):
Y 0.000 0.000 0.000 x1
Cr 0.500 0.500 0.500 x1
Re 0.000 0.500 0.000 x2
As 0.000 0.000 0.500 x1



Question: Which of these has the lowest formation energy?
Answer: CrReAs2W